(1)
## Mn2Fe8Si (PBE)

Data for a relaxed Mn2Fe8Si crystal.

* N(E_F): 1.039 states/eV/atom
* magnetization: 11.23 μB per formula unit
* formation energy from raw total energies: 0.11 eV/atom

Cell: 6.919 6.919 4.378 Å, 106.10 106.10 38.60°
Atoms (fractional coordinates):
Mn: 0.238 0.238 0.375
Mn: 0.762 0.762 0.625
Fe: 0.084 0.084 0.952
Fe: 0.158 0.656 0.511
Fe: 0.304 0.304 0.940
Fe: 0.344 0.842 0.489
Fe: 0.656 0.158 0.511
Fe: 0.696 0.696 0.060
Fe: 0.842 0.344 0.489
Fe: 0.916 0.916 0.048
Si: 0.500 0.500 0.000

---

(2)
## Pr8Tl2Cd (PBE)

Data for a relaxed Pr8Tl2Cd crystal.

* N(E_F): 0.967 states/eV/atom
* magnetization: 0.00 μB per formula unit
* energy relative to the elements: -0.178 eV/atom

Cell: 8.939 8.939 8.970 Å, 119.60 119.60 36.52°
Atoms (fractional coordinates):
Pr: 0.068 0.068 0.221
Pr: 0.135 0.135 0.684
Pr: 0.321 0.321 0.555
Pr: 0.409 0.409 0.056
Pr: 0.591 0.591 0.944
Pr: 0.679 0.679 0.445
Pr: 0.865 0.865 0.316
Pr: 0.932 0.932 0.779
Tl: 0.228 0.228 0.124
Tl: 0.772 0.772 0.876
Cd: 0.500 0.500 0.500

---

(3)
## Co5NiB3 (PBE)

Data for a relaxed Co5NiB3 crystal.

* N(E_F): 1.047 states/eV/atom
* magnetization: 4.36 μB per formula unit
* energy relative to the elements: 0.045 eV/atom

Cell: 5.239 5.239 7.201 Å, 105.52 105.52 74.15°
Atoms (fractional coordinates):
Co: 0.027 0.027 0.334
Co: 0.117 0.508 0.371
Co: 0.194 0.806 0.000
Co: 0.251 0.251 0.925
Co: 0.492 0.883 0.629
Co: 0.508 0.117 0.371
Co: 0.749 0.749 0.075
Co: 0.806 0.194 0.000
Co: 0.883 0.492 0.629
Co: 0.973 0.973 0.666
Ni: 0.443 0.443 0.726
Ni: 0.557 0.557 0.274
B: 0.177 0.177 0.162
B: 0.198 0.198 0.602
B: 0.500 0.500 0.000
B: 0.500 0.500 0.500
B: 0.802 0.802 0.398
B: 0.823 0.823 0.838

---

(4)
## Cd14HgAu (PBE)

Data for a relaxed Cd14HgAu crystal.

* N(E_F): 0.258 states/eV/atom
* magnetization: 0.00 μB per formula unit
* energy relative to the elements: -0.017 eV/atom

Cell: 6.428 6.428 8.604 Å, 90.00 90.00 90.00°
Atoms (fractional coordinates):
Cd: 0.000 0.000 0.000
Cd: 0.000 0.500 0.000
Cd: 0.000 0.500 0.500
Cd: 0.246 0.246 0.253
Cd: 0.246 0.246 0.747
Cd: 0.246 0.754 0.253
Cd: 0.246 0.754 0.747
Cd: 0.500 0.000 0.000
Cd: 0.500 0.000 0.500
Cd: 0.500 0.500 0.000
Cd: 0.754 0.246 0.253
Cd: 0.754 0.246 0.747
Cd: 0.754 0.754 0.253
Cd: 0.754 0.754 0.747
Hg: 0.500 0.500 0.500
Au: 0.000 0.000 0.500

---

(5)
## Li3TmCl6 (PBE)

Data for a relaxed Li3TmCl6 crystal.

* N(E_F): 0.000 states/eV/atom
* magnetization: 0.00 μB per formula unit
* formation energy from raw total energies: -1.96 eV/atom

Cell: 6.596 6.648 12.145 Å, 90.00 122.87 90.00°
Atoms (fractional coordinates):
Li: 0.000 0.000 0.000
Li: 0.000 0.500 0.500
Li: 0.218 0.020 0.732
Li: 0.218 0.480 0.232
Li: 0.782 0.520 0.768
Li: 0.782 0.980 0.268
Tm: 0.500 0.000 0.500
Tm: 0.500 0.500 0.000
Cl: 0.132 0.109 0.267
Cl: 0.132 0.391 0.767
Cl: 0.218 0.680 0.058
Cl: 0.218 0.820 0.558
Cl: 0.432 0.173 0.093
Cl: 0.432 0.327 0.593
Cl: 0.568 0.673 0.407
Cl: 0.568 0.827 0.907
Cl: 0.782 0.180 0.442
Cl: 0.782 0.320 0.942
Cl: 0.868 0.609 0.233
Cl: 0.868 0.891 0.733

---

(6)
## Ti2AlVAs (PBE)

Data for a relaxed Ti2AlVAs crystal.

* N(E_F): 1.227 states/eV/atom
* magnetization: 0.00 μB per formula unit
* energy relative to the elements: 1.137 eV/atom

Cell: 4.706 4.706 4.551 Å, 90.00 90.00 90.00°
Atoms (fractional coordinates):
Ti: 0.000 0.500 0.000
Ti: 0.500 0.000 0.000
Al: 0.000 0.000 0.000
V: 0.500 0.500 0.500
As: 0.000 0.000 0.500

---

(7)
## PrTh3Pb5 (PBE)

Data for a relaxed PrTh3Pb5 crystal.

* N(E_F): 1.074 states/eV/atom
* magnetization: 0.00 μB per formula unit
* energy relative to the elements: -0.331 eV/atom

Cell: 9.836 9.836 6.586 Å, 90.00 90.00 120.00°
Atoms (fractional coordinates):
Pr: 0.000 0.000 0.000
Pr: 0.000 0.000 0.500
Th: 0.000 0.383 0.250
Th: 0.000 0.617 0.750
Th: 0.383 0.000 0.250
Th: 0.383 0.383 0.750
Th: 0.617 0.000 0.750
Th: 0.617 0.617 0.250
Pb: 0.000 0.286 0.750
Pb: 0.000 0.714 0.250
Pb: 0.286 0.000 0.750
Pb: 0.286 0.286 0.250
Pb: 0.333 0.667 0.000
Pb: 0.333 0.667 0.500
Pb: 0.667 0.333 0.000
Pb: 0.667 0.333 0.500
Pb: 0.714 0.000 0.250
Pb: 0.714 0.714 0.750

---

(8)
## Y2MnSi (PBE)

Data for a relaxed Y2MnSi crystal.

* N(E_F): 0.572 states/eV/atom
* magnetization: 2.89 μB per formula unit
* formation energy from raw total energies: 0.05 eV/atom

Cell: 3.993 3.993 5.938 Å, 90.00 90.00 90.00°
Atoms (fractional coordinates):
Y: 0.000 0.000 0.000
Y: 0.500 0.500 0.348
Mn: 0.000 0.000 0.526
Si: 0.500 0.500 0.840

---

(9)
## UVNiPt (PBE)

Data for a relaxed UVNiPt crystal.

* N(E_F): 1.269 states/eV/atom
* magnetization: 3.08 μB per formula unit
* energy relative to the elements: -0.195 eV/atom

Cell: 6.329 6.329 6.329 Å, 90.00 90.00 90.00°
Atoms (fractional coordinates):
U: 0.000 0.000 0.000
U: 0.000 0.500 0.500
U: 0.500 0.000 0.500
U: 0.500 0.500 0.000
V: 0.250 0.250 0.250
V: 0.250 0.750 0.750
V: 0.750 0.250 0.750
V: 0.750 0.750 0.250
Ni: 0.250 0.250 0.750
Ni: 0.250 0.750 0.250
Ni: 0.750 0.250 0.250
Ni: 0.750 0.750 0.750
Pt: 0.000 0.000 0.500
Pt: 0.000 0.500 0.000
Pt: 0.500 0.000 0.000
Pt: 0.500 0.500 0.500

---

(10)
## NaYTi (PBE)

Data for a relaxed NaYTi crystal.

* N(E_F): 1.317 states/eV/atom
* magnetization: 0.00 μB per formula unit
* energy relative to the elements: 0.307 eV/atom

Cell: 5.532 3.262 9.286 Å, 90.00 102.24 90.00°
Atoms (fractional coordinates):
Na: 0.228 0.250 0.442
Na: 0.772 0.750 0.558
Y: 0.363 0.750 0.844
Y: 0.637 0.250 0.156
Ti: 0.115 0.750 0.113
Ti: 0.885 0.250 0.887

---

(11)
## TcAs2IBr (PBE)

Data for a relaxed TcAs2IBr crystal.

* N(E_F): 0.757 states/eV/atom
* magnetization: 0.00 μB per formula unit
* formation energy from raw total energies: 0.31 eV/atom

Cell: 4.879 4.879 5.172 Å, 90.00 90.00 90.00°
Atoms (fractional coordinates):
Tc: 0.000 0.000 0.000
As: 0.000 0.500 0.000
As: 0.500 0.000 0.000
I: 0.500 0.500 0.500
Br: 0.000 0.000 0.500

---

(12)
## K3TiC (PBE)

Data for a relaxed K3TiC crystal.

* N(E_F): 1.823 states/eV/atom
* magnetization: 1.88 μB per formula unit
* energy relative to the elements: 1.685 eV/atom

Cell: 5.872 5.872 5.872 Å, 90.00 90.00 90.00°
Atoms (fractional coordinates):
K: 0.000 0.000 0.500
K: 0.000 0.500 0.000
K: 0.500 0.000 0.000
Ti: 0.500 0.500 0.500
C: 0.000 0.000 0.000

---

Question: Number 8 is which compound?
Answer: Y2MnSi